An optimized crystal structure of Tb8Sm2Er3. Source: the Alexandria database, functional PBE.

a b c (Å): 10.9366 10.9366 5.5694
angles (deg): 90.02 90.02 40.72
Sites, in units of the cell vectors:
1 Tb 0.1050 0.6830 0.9997
2 Tb 0.1642 0.1642 0.5006
3 Tb 0.3170 0.8950 0.0003
4 Tb 0.3699 0.3699 0.5001
5 Tb 0.6301 0.6301 0.4999
6 Tb 0.6830 0.1050 0.9997
7 Tb 0.8358 0.8358 0.4994
8 Tb 0.8950 0.3170 0.0003
9 Sm 0.2591 0.2591 0.0006
10 Sm 0.7409 0.7409 0.9994
11 Er 0.2146 0.7854 0.5000
12 Er 0.5000 0.5000 0.0000
13 Er 0.7854 0.2146 0.5000

## Properties
Volume (A^3/atom): 33.43
Raw total energy (eV/atom): -4.40
Polymorph energy (0 for the lowest one) (kJ/mol of formula units): 14
DFT formation energy (eV per atom): 0.230
Symmetry: No. 12